Compound: KLi2Tc
Source: the Alexandria database
Functional: PBE
Structure: optimized geometry

DFT total energy, eV per atom: -2.8328
V, Å³ per atom: 21.90
Energy of formation from the pure elements, eV/atom: 0.990

Cell: 2.693 5.840 5.571 Å, 90.00 90.00 90.00°
Site moments in Bohr magnetons follow the coordinates.
Fractional coordinates of all 4 atoms:
K (0.000, 0.500, 0.500)  0.00
Li (0.000, 0.000, 0.000)  -0.01
Li (0.500, 0.500, 0.000)  -0.03
Tc (0.500, 0.000, 0.500)  1.22